The following is a DFT calculation (PBE-GGA) of crystalline CaLa4Pr3 at its relaxed geometry.

ΔH_f (0 K), eV per atom: 0.03
Symmetry: No. 139
Spin magnetization, μB per cell: 0.000
ρ, g cm⁻³: 5.71

Cell lengths 5.3135, 5.3132, 11.1472 Å; angles 103.80, 103.79, 90.00 degrees
Fractional coordinates of all 8 atoms:
Pr 0.7500 0.2500 0.4999
Pr 0.0000 0.5000 0.0000
Pr 0.2500 0.7500 0.5001
Ca 0.5000 0.0000 0.0000
La 0.8723 0.8722 0.7447
La 0.3723 0.3723 0.7447
La 0.1277 0.1278 0.2553
La 0.6277 0.6277 0.2553

---

The following is a DFT calculation (PBE-GGA) of crystalline CaLa4Pr5 at its relaxed geometry.

ΔH_f (0 K), eV per atom: 0.02
Symmetry: No. 123
Spin magnetization, μB per cell: 0.000
ρ, g cm⁻³: 5.82

Cell lengths 3.7557, 3.7557, 26.2945 Å; angles 90.00, 90.00, 90.00 degrees
Fractional coordinates of all 10 atoms:
Ca 0.0000 0.0000 0.0000
Pr 0.5000 0.5000 0.3018
Pr 0.5000 0.5000 0.1059
Pr 0.5000 0.5000 0.5000
Pr 0.5000 0.5000 0.6982
Pr 0.5000 0.5000 0.8941
La 0.0000 0.0000 0.2011
La 0.0000 0.0000 0.7989
La 0.0000 0.0000 0.4006
La 0.0000 0.0000 0.5994